The following is a PBE calculation of an optimized crystal structure of Na2SiO3, from Alexandria via LeMat-Bulk.

Calculated values
Magnetic moment ... 0.000 μB per cell
Theoretical density ... 2.880 g/cm³
Uncorrected energy ... -0.44456 Ry per atom

Unit cell a=9.080 b=6.260 c=5.023 alpha=90.00 beta=99.55 gamma=90.00
Space group C2/c (No. 15)
Symmetry-distinct sites (fractional):
Na: 0.158 0.132 0.214 [8 per cell]
Si: 0.000 0.416 0.750 [4 per cell]
O: 0.000 0.156 0.750 [4 per cell]
O: 0.125 0.457 0.485 [8 per cell]